*w*
8
Lattice="5.349 0.000 0.000 0.000 4.636 -0.823 0.000 0.095 13.995" Properties=species:S:1:pos:R:3 comment="Ba2CdI | Alexandria via LeMat-Bulk | GGA-PBE | relaxed" total_magnetization_mub_per_cell=0.00 spacegroup="Cmcm (63)" pbc="T T T"
Ba 4.011 3.149 4.266
Ba 1.337 1.582 8.906
Ba 4.011 4.436 11.514
Ba 1.337 0.294 1.657
Cd 1.337 2.220 12.502
Cd 4.011 2.510 0.670
I 1.337 0.948 5.338
I 4.011 3.782 7.834

=====

*x*
8
Lattice="-7.620 0.404 -5.150 -2.583 -8.246 3.175 -7.392 -1.836 2.564" Properties=species:S:1:pos:R:3 comment="Ba2CdI | Alexandria via LeMat-Bulk | GGA-PBE | relaxed" total_magnetization_mub_per_cell=0.00 spacegroup="I-42d (122)" pbc="T T T"
I 0.000 0.000 0.000
I -10.057 -2.676 -1.787
Ba -6.880 -1.240 -2.144
Ba -4.469 -5.560 1.945
Ba -9.388 -4.376 1.205
Ba -14.454 -8.181 0.173
Cd -5.102 -3.921 -0.988
Cd -7.538 -7.002 2.376

=====

In order of decreasing stability: *w*, *x*.